# 1
DFT (meta-GGA SCAN) results for a PBEsol-optimized structure of Li4Mg5.

Cell lengths 5.924, 8.383, 8.383 Å; angles 120.00, 90.00, 90.00 degrees
Fractional positions:
Mg (0.500, 0.667, 0.333)
Mg (0.500, 0.333, 0.667)
Mg (0.000, 0.667, 0.333)
Mg (0.750, 0.000, 0.697)
Mg (0.750, 0.303, 0.303)
Mg (0.250, 0.303, 0.000)
Mg (0.000, 0.333, 0.667)
Mg (0.250, 0.697, 0.697)
Mg (0.250, 0.000, 0.303)
Mg (0.750, 0.697, 0.000)
Li (0.750, 0.000, 0.361)
Li (0.250, 0.361, 0.361)
Li (0.750, 0.361, 0.000)
Li (0.250, 0.000, 0.639)
Li (0.750, 0.639, 0.639)
Li (0.250, 0.639, 0.000)
Li (0.000, 0.000, 0.000)
Li (0.500, 0.000, 0.000)

## Properties
Relative energy among the computed polymorphs: 0.0059 eV per atom
Calculated formation energy: -0.028 eV/atom
D(E_F): 3.07 states/eV/f.u.
V: 360 Å³ per cell


# 2
DFT (meta-GGA SCAN) results for a PBEsol-optimized structure of TaTl2Cl.

Cell lengths 3.094, 3.221, 10.599 Å; angles 90.00, 90.00, 118.70 degrees
Fractional positions:
Cl (0.000, 0.000, 0.553)
Ta (0.500, 0.000, 0.734)
Tl (0.000, 0.000, 0.971)
Tl (0.500, 0.000, 0.242)

## Properties
Relative energy among the computed polymorphs: 0.0000 eV per atom
D(E_F): 1.64 states/eV/f.u.
V: 93 Å³ per cell
ΔE_f (raw): -0.05 eV/f.u.


# 3
DFT (meta-GGA SCAN) results for a PBEsol-optimized structure of Sr2CaAlSe.

Cell lengths 5.386, 5.823, 5.823 Å; angles 90.00, 90.00, 90.00 degrees
Fractional positions:
Al (0.500, 0.500, 0.500)
Se (0.000, 0.000, 0.000)
Ca (0.500, 0.000, 0.000)
Sr (0.000, 0.000, 0.500)
Sr (0.000, 0.500, 0.000)

## Properties
D(E_F): 4.51 states/eV/f.u.
V: 183 Å³ per cell
ΔE_f (raw): -3.52 eV/f.u.


# 4
DFT (meta-GGA SCAN) results for a PBEsol-optimized structure of ZnCd3.

Cell lengths 3.049, 4.949, 5.537 Å; angles 101.61, 90.00, 107.94 degrees
Fractional positions:
Cd (0.000, 0.000, 0.500)
Cd (0.243, 0.486, 0.237)
Cd (0.757, 0.514, 0.763)
Zn (0.500, 0.000, 0.000)

## Properties
Calculated formation energy: 0.075 eV/atom
D(E_F): 1.20 states/eV/f.u.
V: 78 Å³ per cell